1.
# meta-GGA SCAN AgSeS2, single point on PBEsol structure
data_AgSeS2
_chemical_formula_sum 'Ag1 Se1 S2'
_cell_length_a 7.6129
_cell_length_b 7.6129
_cell_length_c 7.6129
_cell_angle_alpha 28.07
_cell_angle_beta 28.07
_cell_angle_gamma 28.07
_space_group_name_H-M_alt 'P 1'
_space_group_IT_number 1
loop_
_space_group_symop_operation_xyz
'x,y,z'
loop_
_atom_site_label
_atom_site_fract_x
_atom_site_fract_y
_atom_site_fract_z
Ag1 0.0000 0.0000 0.0000
Se1 0.5000 0.5000 0.5000
S1 0.3947 0.3947 0.3947
S2 0.6053 0.6053 0.6053
# - Calculated total energy: -17.4510 eV/atom
# - Energy relative to the elements, uncorrected: 0.224 eV/atom



2.
# meta-GGA SCAN CaLaIn2, single point on PBEsol structure
data_CaLaIn2
_chemical_formula_sum 'Ca1 La1 In2'
_cell_length_a 5.3683
_cell_length_b 5.3683
_cell_length_c 3.9748
_cell_angle_alpha 90.00
_cell_angle_beta 90.00
_cell_angle_gamma 90.00
_space_group_name_H-M_alt 'P 1'
_space_group_IT_number 1
loop_
_space_group_symop_operation_xyz
'x,y,z'
loop_
_atom_site_label
_atom_site_fract_x
_atom_site_fract_y
_atom_site_fract_z
Ca1 0.0000 0.0000 0.0000
La1 0.5000 0.5000 0.0000
In1 0.0000 0.5000 0.5000
In2 0.5000 0.0000 0.5000
# - Calculated total energy: -30.5313 eV/atom
# - ΔH_f (0 K): -0.646 eV/atom



3.
# meta-GGA SCAN Na2BiO3, single point on PBEsol structure
data_Na2BiO3
_chemical_formula_sum 'Na8 Bi4 O12'
_cell_length_a 11.2860
_cell_length_b 10.7406
_cell_length_c 5.9074
_cell_angle_alpha 79.61
_cell_angle_beta 69.40
_cell_angle_gamma 30.99
_space_group_name_H-M_alt 'P 1'
_space_group_IT_number 1
loop_
_space_group_symop_operation_xyz
'x,y,z'
loop_
_atom_site_label
_atom_site_fract_x
_atom_site_fract_y
_atom_site_fract_z
Na1 0.0458 0.0458 0.2042
Na2 0.1219 0.1219 0.6281
Na3 0.2042 0.2042 0.0458
Na4 0.3719 0.3719 0.8781
Na5 0.6281 0.6281 0.1219
Na6 0.7958 0.7958 0.9542
Na7 0.8781 0.8781 0.3719
Na8 0.9542 0.9542 0.7958
Bi1 0.2914 0.2914 0.4586
Bi2 0.4586 0.4586 0.2914
Bi3 0.5414 0.5414 0.7086
Bi4 0.7086 0.7086 0.5414
O1 0.0420 0.5272 0.2435
O2 0.1534 0.5966 0.5966
O3 0.2435 0.6873 0.0420
O4 0.3127 0.7565 0.4728
O5 0.4034 0.8466 0.8466
O6 0.4728 0.9580 0.3127
O7 0.5272 0.0420 0.6873
O8 0.5966 0.1534 0.1534
O9 0.6873 0.2435 0.5272
O10 0.7565 0.3127 0.9580
O11 0.8466 0.4034 0.4034
O12 0.9580 0.4728 0.7565
# - Calculated total energy: -19.0168 eV/atom
# - Energy relative to the elements, uncorrected: -1.400 eV/atom



4.
# meta-GGA SCAN LiMg2Cd, single point on PBEsol structure
data_LiMg2Cd
_chemical_formula_sum 'Li1 Mg2 Cd1'
_cell_length_a 3.3788
_cell_length_b 3.3788
_cell_length_c 6.8720
_cell_angle_alpha 90.00
_cell_angle_beta 90.00
_cell_angle_gamma 90.00
_space_group_name_H-M_alt 'P 1'
_space_group_IT_number 1
loop_
_space_group_symop_operation_xyz
'x,y,z'
loop_
_atom_site_label
_atom_site_fract_x
_atom_site_fract_y
_atom_site_fract_z
Li1 0.0000 0.0000 0.0000
Mg1 0.0000 0.0000 0.5315
Mg2 0.5000 0.5000 0.2452
Cd1 0.5000 0.5000 0.7908
# - Calculated total energy: -10.8568 eV/atom
# - ΔH_f (0 K): -0.169 eV/atom



5.
# meta-GGA SCAN Mn2ZnAg, single point on PBEsol structure
data_Mn2ZnAg
_chemical_formula_sum 'Mn2 Zn1 Ag1'
_cell_length_a 4.6424
_cell_length_b 4.6424
_cell_length_c 2.7808
_cell_angle_alpha 90.00
_cell_angle_beta 90.00
_cell_angle_gamma 107.84
_space_group_name_H-M_alt 'P 1'
_space_group_IT_number 1
loop_
_space_group_symop_operation_xyz
'x,y,z'
loop_
_atom_site_label
_atom_site_fract_x
_atom_site_fract_y
_atom_site_fract_z
Mn1 0.0000 0.5000 0.0000
Mn2 0.5000 0.0000 0.0000
Zn1 0.0000 0.0000 0.5000
Ag1 0.5000 0.5000 0.5000
# - Calculated total energy: -20.3973 eV/atom
# - ΔH_f (0 K): -0.049 eV/atom



6.
# meta-GGA SCAN CdIrBr2, single point on PBEsol structure
data_CdIrBr2
_chemical_formula_sum 'Cd2 Ir2 Br4'
_cell_length_a 6.5522
_cell_length_b 6.5522
_cell_length_c 6.5522
_cell_angle_alpha 99.53
_cell_angle_beta 99.53
_cell_angle_gamma 131.98
_space_group_name_H-M_alt 'P 1'
_space_group_IT_number 1
loop_
_space_group_symop_operation_xyz
'x,y,z'
loop_
_atom_site_label
_atom_site_fract_x
_atom_site_fract_y
_atom_site_fract_z
Cd1 0.0000 0.0000 0.0000
Cd2 0.7500 0.2500 0.5000
Ir1 0.2500 0.7500 0.5000
Ir2 0.5000 0.5000 0.0000
Br1 0.2415 0.1250 0.6165
Br2 0.3750 0.7585 0.8835
Br3 0.5085 0.6250 0.3835
Br4 0.8750 0.4915 0.1165
# - Polymorph energy (0 for the lowest one): 0.0000 eV per atom
# - Calculated total energy: -34.9695 eV/atom
# - Energy relative to the elements, uncorrected: 0.139 eV/atom